A geometry-optimized K2Np3NiO12 structure, computed with GGA+U.

abc: 7.405 7.405 7.405
angles: 64.28 64.28 64.28
Sites, in units of the cell vectors:
K: 0.129 0.129 0.129
K: 0.871 0.871 0.871
Np: 0.000 0.500 0.500
Np: 0.500 0.000 0.500
Np: 0.500 0.500 0.000
Ni: 0.500 0.500 0.500
O: 0.177 0.177 0.566
O: 0.177 0.566 0.177
O: 0.184 0.563 0.563
O: 0.434 0.823 0.823
O: 0.437 0.437 0.816
O: 0.437 0.816 0.437
O: 0.563 0.184 0.563
O: 0.563 0.563 0.184
O: 0.566 0.177 0.177
O: 0.816 0.437 0.437
O: 0.823 0.434 0.823
O: 0.823 0.823 0.434

Space group: R-3m, No. 166
Crystal system: trigonal
Calculated total energy (eV per cell): -145.50